Entry 1:
MgZrScCo | GGA-PBE | relaxed

CIF file:
```
data_MgZrScCo
_cell_length_a 6.650
_cell_length_b 6.650
_cell_length_c 6.650
_cell_angle_alpha 90.00
_cell_angle_beta 90.00
_cell_angle_gamma 90.00
_space_group_name_H-M_alt 'F -4 3 m'
_space_group_IT_number 216
_space_group_name_Hall 'F -4 2 3'
loop_
_atom_site_label
_atom_site_type_symbol
_atom_site_fract_x
_atom_site_fract_y
_atom_site_fract_z
Mg1 Mg 0.000 0.000 0.000
Zr1 Zr 0.250 0.250 0.750
Sc1 Sc 0.250 0.250 0.250
Co1 Co 0.000 0.000 0.500
```

Computed properties:
raw total energy	-23.7	eV/f.u.
formation enthalpy at 0 K	-0.13	eV per formula unit

=====

Entry 2:
Mg2IrRu | GGA-PBE | relaxed

CIF file:
```
data_Mg2IrRu
_cell_length_a 10.136
_cell_length_b 2.824
_cell_length_c 4.798
_cell_angle_alpha 90.00
_cell_angle_beta 112.55
_cell_angle_gamma 90.00
_space_group_name_H-M_alt 'C 1 m 1'
_space_group_IT_number 8
loop_
_space_group_symop_operation_xyz
'x,y,z'
'x,-y,z'
'x+1/2,y+1/2,z'
'x+1/2,-y+1/2,z'
loop_
_atom_site_label
_atom_site_type_symbol
_atom_site_fract_x
_atom_site_fract_y
_atom_site_fract_z
Mg1 Mg 0.000 0.000 0.000
Mg2 Mg 0.216 0.000 0.604
Ir1 Ir 0.250 0.500 0.114
Ru1 Ru 0.462 0.000 0.484
```

Computed properties:
raw total energy	-22.0	eV/f.u.
formation enthalpy at 0 K	-0.66	eV per formula unit

=====

Entry 3:
NaLi2Pr | GGA-PBE | relaxed

CIF file:
```
data_NaLi2Pr
_cell_length_a 3.521
_cell_length_b 3.521
_cell_length_c 9.027
_cell_angle_alpha 90.00
_cell_angle_beta 90.00
_cell_angle_gamma 90.00
_space_group_name_H-M_alt 'P 4/m m m'
_space_group_IT_number 123
_space_group_name_Hall '-P 4 2'
loop_
_atom_site_label
_atom_site_type_symbol
_atom_site_fract_x
_atom_site_fract_y
_atom_site_fract_z
Na1 Na 0.000 0.000 0.000
Li1 Li 0.500 0.500 0.240
Pr1 Pr 0.000 0.000 0.500
```

Computed properties:
raw total energy	-9.5	eV/f.u.
distance to the lowest polymorph of the same formula	0.010	eV per atom
formation enthalpy at 0 K	0.45	eV per formula unit

=====

What is the raw total energy in the third record?
-9.5 eV/f.u.

=====

Look up the formation enthalpy at 0 K of the second one.
-0.66 eV per formula unit

=====

Repeat the first record exactly.
MgZrScCo | GGA-PBE | relaxed

CIF file:
```
data_MgZrScCo
_cell_length_a 6.650
_cell_length_b 6.650
_cell_length_c 6.650
_cell_angle_alpha 90.00
_cell_angle_beta 90.00
_cell_angle_gamma 90.00
_space_group_name_H-M_alt 'F -4 3 m'
_space_group_IT_number 216
_space_group_name_Hall 'F -4 2 3'
loop_
_atom_site_label
_atom_site_type_symbol
_atom_site_fract_x
_atom_site_fract_y
_atom_site_fract_z
Mg1 Mg 0.000 0.000 0.000
Zr1 Zr 0.250 0.250 0.750
Sc1 Sc 0.250 0.250 0.250
Co1 Co 0.000 0.000 0.500
```

Computed properties:
raw total energy	-23.7	eV/f.u.
formation enthalpy at 0 K	-0.13	eV per formula unit

=====

Among the records above, which one has the lowest raw total energy?
MgZrScCo